Computed, not measured: a crystal of TiAl3F relaxed with PBEsol at the meta-GGA SCAN level of DFT.

Structure (extended XYZ):
```
5
Lattice="-2.229 0.710 3.493 3.428 -0.704 2.330 0.979 4.084 -0.206" Properties=species:S:1:pos:R:3 pbc="T T T"
Al -1.114 0.355 1.747
Al 0.489 2.042 -0.103
Al 1.714 -0.352 1.165
Ti 1.089 2.045 2.809
F 0.000 0.000 0.000
```

## Properties
* space group: Pm-3m (221)
* formation energy from raw total energies: -0.4723 eV/atom



Computed, not measured: a crystal of Al2WF relaxed with PBEsol at the meta-GGA SCAN level of DFT.

Structure (extended XYZ):
```
4
Lattice="-3.840 1.459 -1.529 -3.306 0.787 2.769 -1.254 4.123 0.800" Properties=species:S:1:pos:R:3 pbc="T T T"
F 0.000 0.000 0.000
Al -2.100 1.592 0.510
Al -6.300 4.777 1.530
W -4.200 3.185 1.020
```

## Properties
* space group: Fm-3m (225)
* formation energy from raw total energies: 0.2382 eV/atom



Computed, not measured: a crystal of Al2ZnF relaxed with PBEsol at the meta-GGA SCAN level of DFT.

Structure (extended XYZ):
```
4
Lattice="4.351 0.000 0.000 2.175 3.768 0.000 2.175 1.256 3.552" Properties=species:S:1:pos:R:3 pbc="T T T"
Al 2.175 1.256 0.888
Al 6.526 3.768 2.664
Zn 4.351 2.512 1.776
F 0.000 0.000 0.000
```

## Properties
* space group: Fm-3m (225)
* formation energy from raw total energies: -0.4137 eV/atom



Computed, not measured: a crystal of AlZnF3 relaxed with PBEsol at the meta-GGA SCAN level of DFT.

Structure (extended XYZ):
```
5
Lattice="3.855 0.000 0.000 0.000 3.855 0.000 0.000 0.000 3.855" Properties=species:S:1:pos:R:3 pbc="T T T"
Al 0.000 0.000 0.000
F 0.000 0.000 1.927
F 1.927 0.000 0.000
F 0.000 1.927 0.000
Zn 1.927 1.927 1.927
```

## Properties
* space group: Pm-3m (221)
* formation energy from raw total energies: -2.3292 eV/atom



Computed, not measured: a crystal of Zr2AlF relaxed with PBEsol at the meta-GGA SCAN level of DFT.

Structure (extended XYZ):
```
8
Lattice="5.162 0.000 0.000 0.000 5.162 0.000 -2.581 -2.581 6.267" Properties=species:S:1:pos:R:3 pbc="T T T"
Zr 1.290 0.755 4.700
Zr 3.336 1.290 1.567
Zr -1.290 -0.755 4.700
Zr 1.826 3.871 1.567
F 2.581 0.000 3.133
F 2.581 2.581 0.000
Al 0.000 0.000 0.000
Al 0.000 2.581 3.133
```

## Properties
* space group: I-42d (122)
* formation energy from raw total energies: -0.4903 eV/atom



Computed, not measured: a crystal of AlFe5 relaxed with PBEsol at the meta-GGA SCAN level of DFT.

Structure (extended XYZ):
```
6
Lattice="-1.855 1.275 1.702 -2.194 -3.509 -2.102 2.671 -2.098 4.480" Properties=species:S:1:pos:R:3 pbc="T T T"
Fe -1.170 -2.639 3.040
Fe -0.927 0.637 0.851
Fe 1.198 -2.739 3.356
Fe -2.576 -1.593 0.725
Fe -0.209 -1.694 1.041
Al 0.408 -0.412 3.091
```

## Properties
* ΔE_f: -0.143 eV/atom
* space group: C2/m (12)



Computed, not measured: a crystal of AlFe relaxed with PBEsol at the meta-GGA SCAN level of DFT.

Structure (extended XYZ):
```
2
Lattice="3.418 0.000 0.000 1.709 2.960 0.000 1.709 0.987 2.791" Properties=species:S:1:pos:R:3 pbc="T T T"
Fe 3.418 1.973 1.395
Al 0.000 0.000 0.000
```

## Properties
* ΔE_f: 0.370 eV/atom
* space group: Fm-3m (225)



Computed, not measured: a crystal of AlFe relaxed with PBEsol at the meta-GGA SCAN level of DFT.

Structure (extended XYZ):
```
4
Lattice="-0.665 -2.423 -1.642 2.838 -2.055 1.882 -3.795 1.075 2.693" Properties=species:S:1:pos:R:3 pbc="T T T"
Al -0.233 -1.987 0.283
Al -1.389 -1.416 2.650
Fe 1.384 -1.861 2.185
Fe -3.006 -1.542 0.748
```

## Properties
* ΔE_f: -0.309 eV/atom
* space group: Imma (74)



Computed, not measured: a crystal of AlFe5 relaxed with PBEsol at the meta-GGA SCAN level of DFT.

Structure (extended XYZ):
```
6
Lattice="2.803 0.000 0.000 0.000 2.803 0.000 0.000 0.000 8.426" Properties=species:S:1:pos:R:3 pbc="T T T"
Fe 0.000 0.000 1.518
Fe 1.402 1.402 5.606
Fe 1.402 1.402 2.820
Fe 0.000 0.000 6.909
Fe 0.000 0.000 4.213
Al 1.402 1.402 0.000
```

## Properties
* ΔE_f: -0.101 eV/atom
* space group: P4/mmm (123)



Computed, not measured: a crystal of Al2Fe relaxed with PBEsol at the meta-GGA SCAN level of DFT.

Structure (extended XYZ):
```
6
Lattice="3.055 0.000 0.000 0.000 4.029 0.000 -1.528 0.000 6.105" Properties=species:S:1:pos:R:3 pbc="T T T"
Al 1.528 1.007 0.817
Al 0.000 3.022 5.288
Al 1.528 3.022 3.050
Al 0.000 1.007 3.054
Fe 0.000 3.022 1.176
Fe 1.528 1.007 4.928
```

## Properties
* ΔE_f: -0.269 eV/atom
* space group: Cmcm (63)



Computed, not measured: a crystal of AlFe relaxed with PBEsol at the meta-GGA SCAN level of DFT.

Structure (extended XYZ):
```
8
Lattice="3.960 0.000 0.000 -1.980 3.429 0.000 0.000 0.000 7.667" Properties=species:S:1:pos:R:3 pbc="T T T"
Al 1.980 1.143 7.035
Al 0.000 2.286 0.632
Al 1.980 1.143 4.465
Al 0.000 2.286 3.202
Fe 0.000 0.000 1.917
Fe 1.980 1.143 1.917
Fe 0.000 0.000 5.750
Fe 0.000 2.286 5.750
```

## Properties
* ΔE_f: -0.070 eV/atom
* space group: P6_3/mmc (194)



Computed, not measured: a crystal of AlFe2 relaxed with PBEsol at the meta-GGA SCAN level of DFT.

Structure (extended XYZ):
```
12
Lattice="-0.451 3.202 1.491 1.182 -1.280 3.106 10.058 1.820 -5.118" Properties=species:S:1:pos:R:3 pbc="T T T"
Fe 3.254 2.530 -0.196
Fe 0.591 -0.640 1.553
Fe 2.097 1.424 1.831
Fe 6.717 3.454 -1.132
Fe 8.691 2.319 -2.351
Fe 5.576 2.352 0.889
Fe 5.211 1.391 -1.409
Fe 11.014 2.142 -1.266
Al 9.114 3.296 -0.068
Al 4.129 0.304 0.596
Al 1.674 0.447 -0.452
Al 7.476 1.198 -0.309
```

## Properties
* ΔE_f: -0.267 eV/atom
* space group: I4_1/amd (141)



The following V values (in Å³ per atom) correspond, in order, to the records above: 14.86, 14.89, 14.56, 11.46, 20.87, 11.09, 14.12, 12.16, 11.03, 12.52, 13.01, 11.79.